# PBE+U CoAuSO, relaxed
data_CoAuSO
_chemical_formula_sum 'Co4 Au4 S4 O4'
_symmetry_space_group_name_H-M 'P 1 21 1'
_symmetry_Int_Tables_number 4
_cell_length_a 5.2051
_cell_length_b 5.1984
_cell_length_c 10.1464
_cell_angle_alpha 90.00
_cell_angle_beta 91.73
_cell_angle_gamma 90.00
loop_
_symmetry_equiv_pos_as_xyz
'x,y,z'
'-x,y+1/2,-z'
loop_
_atom_site_label
_atom_site_fract_x
_atom_site_fract_y
_atom_site_fract_z
_atom_site_occupancy
Co1 0.0031 0.0000 0.1068 1
Co2 0.4959 0.9970 0.9499 1
Au1 0.1393 0.2592 0.5000 1
Au2 0.4972 0.0144 0.3344 1
S1 0.1784 0.3060 0.2703 1
S2 0.1946 0.2184 0.7317 1
O1 0.2519 0.7485 0.0015 1
O2 0.2567 0.2475 0.0033 1
# **Theoretical density**: 7.36 g/cm3
# **Energy**: -4.619 eV per atom
# **Volume**: 17.151 Å³ per atom